one:
# Mg3Ag5F12

Mg3Ag5F12 after structural relaxation (PBE, Alexandria).

a = 9.9590 Å, b = 9.9590 Å, c = 3.1462 Å
α = 90.00°, β = 90.00°, γ = 120.00°
Space group P-62m (No. 189)
Inequivalent atoms, fractional coordinates:
Mg: 0.0000 0.6580 0.0000 x3
Ag: 0.0000 0.2752 0.5000 x3
Ag: 0.3333 0.6667 0.5000 x2
F: 0.0000 0.5332 0.5000 x3
F: 0.0000 0.7947 0.5000 x3
F: 0.2125 0.4444 0.0000 x6

***

two:
# Mg3Ag5F12

Mg3Ag5F12 after structural relaxation (PBE, Alexandria).

a = 14.0777 Å, b = 14.0777 Å, c = 14.0777 Å
α = 90.00°, β = 90.00°, γ = 90.00°
Space group Ia-3d (No. 230)
Inequivalent atoms, fractional coordinates:
Mg: 0.0000 0.2500 0.1250 x24
Ag: 0.0000 0.0000 0.0000 x16
Ag: 0.0000 0.2500 0.3750 x24
F: 0.0228 0.1603 0.5266 x96

***

Relative energies, unit kJ/mol of atoms: one 0.0; two 13.5

***

one:
# Mg2AgF

Mg2AgF after structural relaxation (PBE, Alexandria).

a = 6.5802 Å, b = 6.5802 Å, c = 6.5802 Å
α = 90.00°, β = 90.00°, γ = 90.00°
Space group Fm-3m (No. 225)
Inequivalent atoms, fractional coordinates:
Mg: 0.2500 0.2500 0.2500 x8
Ag: 0.0000 0.0000 0.0000 x4
F: 0.0000 0.0000 0.5000 x4

***

two:
# Mg2AgF

Mg2AgF after structural relaxation (PBE, Alexandria).

a = 6.3240 Å, b = 6.3240 Å, c = 6.9899 Å
α = 90.00°, β = 90.00°, γ = 90.00°
Space group I-42d (No. 122)
Inequivalent atoms, fractional coordinates:
Mg: 0.1741 0.2500 0.1250 x8
Ag: 0.0000 0.0000 0.5000 x4
F: 0.0000 0.0000 0.0000 x4

***

Relative energies, unit kJ/mol of atoms: one 37.1; two 0.0

***

one:
# MgAgNF2

MgAgNF2 after structural relaxation (PBE, Alexandria).

a = 3.6846 Å, b = 3.6846 Å, c = 5.1894 Å
α = 90.00°, β = 90.00°, γ = 90.00°
Space group P4/mmm (No. 123)
Inequivalent atoms, fractional coordinates:
Mg: 0.0000 0.0000 0.0000 x1
Ag: 0.5000 0.5000 0.5000 x1
N: 0.0000 0.0000 0.5000 x1
F: 0.0000 0.5000 0.0000 x2

***

two:
# MgAgNF2

MgAgNF2 after structural relaxation (PBE, Alexandria).

a = 4.3369 Å, b = 4.3369 Å, c = 4.0353 Å
α = 90.00°, β = 90.00°, γ = 90.00°
Space group P4/mmm (No. 123)
Inequivalent atoms, fractional coordinates:
Mg: 0.0000 0.0000 0.0000 x1
Ag: 0.5000 0.5000 0.5000 x1
N: 0.5000 0.5000 0.0000 x1
F: 0.0000 0.5000 0.5000 x2

***

Relative energies, unit kJ/mol of atoms: one 0.0; two 68.1